Computed, not measured: an optimized crystal structure of Tb5Dy3Tm2 at the PBE-GGA level of DFT.

## Properties
For the total magnetic moment, the calculation gives 0.000 μB per atom. The calculated density comes out at 8.3 g/cm3. The uncorrected energy comes out at -43.9 eV per formula unit. As for the space group: C2/c (15).

Unit cell a=9.5039 b=9.4474 c=11.0471 alpha=126.08 beta=126.20 gamma=67.97
Last column: nearest neighbours and their distance in Å.
Fractional coordinates of all 20 atoms:
Tb 0.2738 0.5238 0.0476  1 Tb 3.05, 2 Dy 3.27
Tb 0.7262 0.4762 0.9524  1 Tb 3.05, 2 Dy 3.27
Tb 0.0245 0.7745 0.5489  5 Dy 3.20-3.40, 2 Tm 3.36, 2 Tb 3.49
Tb 0.5298 0.2798 0.5595  1 Tb 3.05, 2 Tm 3.30
Tb 0.9755 0.2255 0.4511  5 Dy 3.20-3.40, 2 Tm 3.36, 2 Tb 3.49
Tb 0.4702 0.7202 0.4405  1 Tb 3.05, 2 Tm 3.30
Tb 0.8499 0.6034 0.7378  3 Dy 3.42-3.68, 2 Tm 3.43-3.62, 3 Tb 3.49-3.60
Tb 0.1501 0.3966 0.2622  3 Dy 3.42-3.68, 2 Tm 3.43-3.62, 3 Tb 3.49-3.60
Tb 0.3879 0.1345 0.7378  3 Dy 3.42-3.68, 2 Tm 3.43-3.62, 3 Tb 3.49-3.60
Tb 0.6121 0.8655 0.2622  3 Dy 3.42-3.68, 2 Tm 3.43-3.62, 3 Tb 3.49-3.60
Dy 0.2307 0.9807 0.9613  3 Tb 3.20-3.53, 4 Tm 3.29-3.47, 2 Dy 3.43
Dy 0.7693 0.0193 0.0387  3 Tb 3.20-3.53, 4 Tm 3.29-3.47, 2 Dy 3.43
Dy 0.7345 0.4684 0.2489  1 Tm 3.20, 6 Tb 3.27-3.54, 1 Dy 3.43
Dy 0.2655 0.5316 0.7511  1 Tm 3.20, 6 Tb 3.27-3.54, 1 Dy 3.43
Dy 0.0144 0.7805 0.2489  1 Tm 3.20, 6 Tb 3.27-3.54, 1 Dy 3.43
Dy 0.9856 0.2195 0.7511  1 Tm 3.20, 6 Tb 3.27-3.54, 1 Dy 3.43
Tm 0.7784 0.0101 0.7411  3 Dy 3.20-3.47, 5 Tb 3.30-3.56
Tm 0.2216 0.9899 0.2589  3 Dy 3.20-3.47, 5 Tb 3.30-3.56
Tm 0.4627 0.7310 0.7411  3 Dy 3.20-3.47, 5 Tb 3.30-3.56
Tm 0.5373 0.2690 0.2589  3 Dy 3.20-3.47, 5 Tb 3.30-3.56